# 1
A geometry-optimized CsSc2TlV structure. Source: the Alexandria database, functional GGA-PBE.

Properties
Fermi-level density of states   1.003 states/eV per atom
E   -4.07 eV/atom
ΔE_f   928 meV/atom
Crystal system   tetragonal

```
data_CsSc2TlV
_chemical_formula_sum 'Cs1 Sc2 Tl1 V1'
_cell_length_a 5.628
_cell_length_b 5.628
_cell_length_c 5.468
_cell_angle_alpha 90.00
_cell_angle_beta 90.00
_cell_angle_gamma 90.00
_space_group_name_H-M_alt 'P 4/m m m'
_space_group_IT_number 123
_space_group_name_Hall '-P 4 2'
loop_
_atom_site_label
_atom_site_type_symbol
_atom_site_fract_x
_atom_site_fract_y
_atom_site_fract_z
Cs1 Cs 0.000 0.000 0.000
Sc1 Sc 0.000 0.500 0.500
Tl1 Tl 0.500 0.500 0.500
V1 V 0.500 0.500 0.000
```

# 2
A geometry-optimized CaCu3Bi structure. Source: the Alexandria database, functional GGA-PBE.

Properties
Fermi-level density of states   0.636 states/eV per atom
Polymorph energy (0 for the lowest one)   0.000 eV per atom
E   -3.17 eV/atom
ΔE_f   466 meV/atom
Crystal system   cubic

```
data_CaCu3Bi
_chemical_formula_sum 'Ca1 Cu3 Bi1'
_cell_length_a 5.045
_cell_length_b 5.045
_cell_length_c 5.045
_cell_angle_alpha 90.00
_cell_angle_beta 90.00
_cell_angle_gamma 90.00
_space_group_name_H-M_alt 'P m -3 m'
_space_group_IT_number 221
_space_group_name_Hall '-P 4 2 3'
loop_
_atom_site_label
_atom_site_type_symbol
_atom_site_fract_x
_atom_site_fract_y
_atom_site_fract_z
Ca1 Ca 0.000 0.000 0.000
Cu1 Cu 0.000 0.500 0.500
Bi1 Bi 0.500 0.500 0.500
```

# 3
A geometry-optimized Tl2IF2 structure. Source: the Alexandria database, functional GGA-PBE.

Properties
Fermi-level density of states   0.805 states/eV per atom
E   -3.33 eV/atom
Uncorrected formation energy   -1321.8 meV/atom
Crystal system   tetragonal

```
data_Tl2IF2
_chemical_formula_sum 'Tl4 I2 F4'
_cell_length_a 4.224
_cell_length_b 4.224
_cell_length_c 13.946
_cell_angle_alpha 90.00
_cell_angle_beta 90.00
_cell_angle_gamma 90.00
_space_group_name_H-M_alt 'I 4/m m m'
_space_group_IT_number 139
_space_group_name_Hall '-I 4 2'
loop_
_atom_site_label
_atom_site_type_symbol
_atom_site_fract_x
_atom_site_fract_y
_atom_site_fract_z
Tl1 Tl 0.000 0.000 0.147
I1 I 0.000 0.000 0.500
F1 F 0.000 0.500 0.250
```

# 4
A geometry-optimized PaTcGe2Rh structure. Source: the Alexandria database, functional GGA-PBE.

Properties
Fermi-level density of states   0.787 states/eV per atom
E   -7.85 eV/atom
ΔE_f   -557 meV/atom
Crystal system   tetragonal

```
data_PaTcGe2Rh
_chemical_formula_sum 'Pa2 Tc2 Ge4 Rh2'
_cell_length_a 4.253
_cell_length_b 4.253
_cell_length_c 9.934
_cell_angle_alpha 90.00
_cell_angle_beta 90.00
_cell_angle_gamma 90.00
_space_group_name_H-M_alt 'I -4 m 2'
_space_group_IT_number 119
_space_group_name_Hall 'I -4 -2'
loop_
_atom_site_label
_atom_site_type_symbol
_atom_site_fract_x
_atom_site_fract_y
_atom_site_fract_z
Pa1 Pa 0.000 0.000 0.000
Tc1 Tc 0.000 0.500 0.250
Ge1 Ge 0.000 0.000 0.375
Rh1 Rh 0.000 0.500 0.750
```

# 5
A geometry-optimized Na2HfGaF structure. Source: the Alexandria database, functional GGA-PBE.

Properties
Fermi-level density of states   1.174 states/eV per atom
E   -3.19 eV/atom
Uncorrected formation energy   307.8 meV/atom
Crystal system   tetragonal

```
data_Na2HfGaF
_chemical_formula_sum 'Na2 Hf1 Ga1 F1'
_cell_length_a 5.927
_cell_length_b 5.927
_cell_length_c 4.036
_cell_angle_alpha 90.00
_cell_angle_beta 90.00
_cell_angle_gamma 90.00
_space_group_name_H-M_alt 'P 4/m m m'
_space_group_IT_number 123
_space_group_name_Hall '-P 4 2'
loop_
_atom_site_label
_atom_site_type_symbol
_atom_site_fract_x
_atom_site_fract_y
_atom_site_fract_z
Na1 Na 0.000 0.500 0.000
Hf1 Hf 0.000 0.000 0.500
Ga1 Ga 0.500 0.500 0.000
F1 F 0.500 0.500 0.500
```

# 6
A geometry-optimized Sc3P4Rh7 structure. Source: the Alexandria database, functional GGA-PBE.

Properties
Fermi-level density of states   0.563 states/eV per atom
E   -7.64 eV/atom
ΔE_f   -1064 meV/atom
Crystal system   monoclinic

```
data_Sc3P4Rh7
_chemical_formula_sum 'Sc6 P8 Rh14'
_cell_length_a 14.588
_cell_length_b 3.867
_cell_length_c 8.898
_cell_angle_alpha 90.00
_cell_angle_beta 123.66
_cell_angle_gamma 90.00
_space_group_name_H-M_alt 'C 1 2/m 1'
_space_group_IT_number 12
_space_group_name_Hall '-C 2y'
loop_
_atom_site_label
_atom_site_type_symbol
_atom_site_fract_x
_atom_site_fract_y
_atom_site_fract_z
Sc1 Sc 0.000 0.000 0.000
Sc2 Sc 0.169 0.500 0.666
P1 P 0.109 0.000 0.829
P2 P 0.169 0.500 0.272
Rh1 Rh 0.000 0.000 0.500
Rh2 Rh 0.007 0.500 0.272
Rh3 Rh 0.168 0.000 0.421
Rh4 Rh 0.199 0.500 0.048
```

# 7
A geometry-optimized HoIn2Te4Pb structure. Source: the Alexandria database, functional GGA-PBE.

Properties
Fermi-level density of states   0.445 states/eV per atom
E   -3.92 eV/atom
Uncorrected formation energy   -628.2 meV/atom
Crystal system   monoclinic

```
data_HoIn2Te4Pb
_chemical_formula_sum 'Ho1 In2 Te4 Pb1'
_cell_length_a 7.952
_cell_length_b 4.438
_cell_length_c 8.036
_cell_angle_alpha 90.00
_cell_angle_beta 108.65
_cell_angle_gamma 90.00
_space_group_name_H-M_alt 'P 1 2/m 1'
_space_group_IT_number 10
_space_group_name_Hall '-P 2y'
loop_
_atom_site_label
_atom_site_type_symbol
_atom_site_fract_x
_atom_site_fract_y
_atom_site_fract_z
Ho1 Ho 0.000 0.000 0.000
In1 In 0.000 0.500 0.500
In2 In 0.500 0.000 0.500
Te1 Te 0.228 0.500 0.233
Te2 Te 0.232 0.000 0.754
Pb1 Pb 0.500 0.500 0.000
```

# 8
A geometry-optimized Zn4GaHg structure. Source: the Alexandria database, functional GGA-PBE.

Properties
Fermi-level density of states   0.279 states/eV per atom
E   -1.32 eV/atom
ΔE_f   88 meV/atom
Crystal system   cubic

```
data_Zn4GaHg
_chemical_formula_sum 'Zn16 Ga4 Hg4'
_cell_length_a 7.533
_cell_length_b 7.533
_cell_length_c 7.533
_cell_angle_alpha 90.00
_cell_angle_beta 90.00
_cell_angle_gamma 90.00
_space_group_name_H-M_alt 'F -4 3 m'
_space_group_IT_number 216
_space_group_name_Hall 'F -4 2 3'
loop_
_atom_site_label
_atom_site_type_symbol
_atom_site_fract_x
_atom_site_fract_y
_atom_site_fract_z
Zn1 Zn 0.125 0.125 0.125
Ga1 Ga 0.000 0.000 0.500
Hg1 Hg 0.250 0.250 0.750
```

# 9
A geometry-optimized BePtO structure. Source: the Alexandria database, functional GGA-PBE.

Properties
Fermi-level density of states   0.283 states/eV per atom
E   -6.33 eV/atom
Uncorrected formation energy   -1423.4 meV/atom
Crystal system   orthorhombic

```
data_BePtO
_chemical_formula_sum 'Be4 Pt4 O4'
_cell_length_a 2.751
_cell_length_b 10.197
_cell_length_c 4.645
_cell_angle_alpha 90.00
_cell_angle_beta 90.00
_cell_angle_gamma 90.00
_space_group_name_H-M_alt 'I m m 2'
_space_group_IT_number 44
_space_group_name_Hall 'I 2 -2'
loop_
_atom_site_label
_atom_site_type_symbol
_atom_site_fract_x
_atom_site_fract_y
_atom_site_fract_z
Be1 Be 0.000 0.207 0.000
Pt1 Pt 0.000 0.000 0.739
Pt2 Pt 0.000 0.500 0.739
O1 O 0.000 0.288 0.694
```

# 10
A geometry-optimized Tb5Nd4Y structure. Source: the Alexandria database, functional GGA-PBE.

Properties
Fermi-level density of states   1.413 states/eV per atom
Polymorph energy (0 for the lowest one)   0.000 eV per atom
E   -4.64 eV/atom
ΔE_f   225 meV/atom
Crystal system   monoclinic

```
data_Tb5Nd4Y
_chemical_formula_sum 'Tb10 Nd8 Y2'
_cell_length_a 18.132
_cell_length_b 3.600
_cell_length_c 10.966
_cell_angle_alpha 90.00
_cell_angle_beta 102.55
_cell_angle_gamma 90.00
_space_group_name_H-M_alt 'C 1 2/m 1'
_space_group_IT_number 12
_space_group_name_Hall '-C 2y'
loop_
_atom_site_label
_atom_site_type_symbol
_atom_site_fract_x
_atom_site_fract_y
_atom_site_fract_z
Tb1 Tb 0.000 0.000 0.000
Tb2 Tb 0.163 0.500 0.417
Tb3 Tb 0.168 0.500 0.025
Nd1 Nd 0.021 0.500 0.762
Nd2 Nd 0.177 0.000 0.725
Y1 Y 0.000 0.000 0.500
```

# 11
A geometry-optimized Tl2InTcF structure. Source: the Alexandria database, functional GGA-PBE.

Properties
Fermi-level density of states   0.707 states/eV per atom
E   -3.26 eV/atom
Uncorrected formation energy   676.8 meV/atom
Crystal system   tetragonal

```
data_Tl2InTcF
_chemical_formula_sum 'Tl2 In1 Tc1 F1'
_cell_length_a 5.960
_cell_length_b 5.960
_cell_length_c 5.273
_cell_angle_alpha 90.00
_cell_angle_beta 90.00
_cell_angle_gamma 90.00
_space_group_name_H-M_alt 'P 4/m m m'
_space_group_IT_number 123
_space_group_name_Hall '-P 4 2'
loop_
_atom_site_label
_atom_site_type_symbol
_atom_site_fract_x
_atom_site_fract_y
_atom_site_fract_z
Tl1 Tl 0.000 0.500 0.000
In1 In 0.000 0.000 0.000
Tc1 Tc 0.000 0.000 0.500
F1 F 0.500 0.500 0.500
```

# 12
A geometry-optimized IrN2O2 structure. Source: the Alexandria database, functional GGA-PBE.

Properties
Fermi-level density of states   0.591 states/eV per atom
Polymorph energy (0 for the lowest one)   0.000 eV per atom
E   -5.69 eV/atom
Uncorrected formation energy   1393.7 meV/atom
Crystal system   tetragonal

```
data_IrN2O2
_chemical_formula_sum 'Ir1 N2 O2'
_cell_length_a 3.871
_cell_length_b 3.871
_cell_length_c 3.778
_cell_angle_alpha 90.00
_cell_angle_beta 90.00
_cell_angle_gamma 90.00
_space_group_name_H-M_alt 'P 4/m m m'
_space_group_IT_number 123
_space_group_name_Hall '-P 4 2'
loop_
_atom_site_label
_atom_site_type_symbol
_atom_site_fract_x
_atom_site_fract_y
_atom_site_fract_z
Ir1 Ir 0.000 0.000 0.000
N1 N 0.000 0.000 0.500
N2 N 0.500 0.500 0.500
O1 O 0.000 0.500 0.000
```

Q: Look up the E of the fifth one.
A: -3.19 eV/atom

Please write out number 1 again, unchanged.
A geometry-optimized CsSc2TlV structure. Source: the Alexandria database, functional GGA-PBE.

Properties
Fermi-level density of states   1.003 states/eV per atom
E   -4.07 eV/atom
ΔE_f   928 meV/atom
Crystal system   tetragonal

```
data_CsSc2TlV
_chemical_formula_sum 'Cs1 Sc2 Tl1 V1'
_cell_length_a 5.628
_cell_length_b 5.628
_cell_length_c 5.468
_cell_angle_alpha 90.00
_cell_angle_beta 90.00
_cell_angle_gamma 90.00
_space_group_name_H-M_alt 'P 4/m m m'
_space_group_IT_number 123
_space_group_name_Hall '-P 4 2'
loop_
_atom_site_label
_atom_site_type_symbol
_atom_site_fract_x
_atom_site_fract_y
_atom_site_fract_z
Cs1 Cs 0.000 0.000 0.000
Sc1 Sc 0.000 0.500 0.500
Tl1 Tl 0.500 0.500 0.500
V1 V 0.500 0.500 0.000
```